The following is a GGA-PBE calculation of a relaxed structure of Ba2UPdS6, from the Alexandria database.

Cell: 7.3515 7.3515 6.8689 Å, 117.21 117.21 54.93°
Last column: nearest neighbours and their distance in Å.
Atoms (fractional coordinates):
Ba  0.2499  0.2499  0.2275  7 S 3.13-3.47
Ba  0.7501  0.7501  0.7725  7 S 3.13-3.47
U  0.5000  0.5000  0.0000  6 S 2.50-2.57
Pd  0.0000  0.0000  0.5000  4 S 2.36
S  0.1940  0.7190  0.2174  1 Pd 2.36, 1 U 2.57
S  0.2808  0.2808  0.7110  1 U 2.50
S  0.2810  0.8060  0.7826  1 Pd 2.36, 1 U 2.57
S  0.7190  0.1940  0.2174  1 Pd 2.36, 1 U 2.57
S  0.7192  0.7192  0.2890  1 U 2.50
S  0.8060  0.2810  0.7826  1 Pd 2.36, 1 U 2.57

Output
As for the energy relative to the elements, uncorrected: -1.3608 eV/atom. Its total moment is 0.000 μB/cell.


The following is a GGA-PBE calculation of a relaxed structure of Ba2UPdS5, from the Alexandria database.

Cell: 9.2198 9.2198 12.9391 Å, 90.00 90.00 154.48°
Last column: nearest neighbours and their distance in Å.
Atoms (fractional coordinates):
Ba  0.1166  0.8834  0.5000  5 S 3.07-3.31
Ba  0.1177  0.8823  0.1345  7 S 3.05-3.39
Ba  0.8823  0.1177  0.6345  7 S 3.05-3.39
Ba  0.8834  0.1166  0.0000  5 S 3.07-3.31
U  0.1955  0.8045  0.8225  6 S 2.56-2.71
U  0.8045  0.1955  0.3225  6 S 2.56-2.71
Pd  0.4327  0.5673  0.2380  4 S 2.40-2.48
Pd  0.5673  0.4327  0.7380  4 S 2.40-2.48
S  0.0535  0.9465  0.8341  2 Pd 2.40, 1 U 2.56
S  0.2985  0.7015  0.4602  2 U 2.71
S  0.2997  0.7003  0.1861  1 Pd 2.48, 2 U 2.70
S  0.3394  0.6606  0.8185  1 U 2.59
S  0.4994  0.5006  0.0745  1 Pd 2.43
S  0.5006  0.4994  0.5745  1 Pd 2.43
S  0.6606  0.3394  0.3185  1 U 2.59
S  0.7003  0.2997  0.6861  1 Pd 2.48, 2 U 2.70
S  0.7015  0.2985  0.9602  2 U 2.71
S  0.9465  0.0535  0.3341  2 Pd 2.40, 1 U 2.56

Output
As for the energy relative to the elements, uncorrected: -1.4754 eV/atom. Its total moment is 1.370 μB/cell.